Computed, not measured: a geometry-optimized Sb2MoRhF structure at the PBE with a Hubbard U level of DFT.

POSCAR file:
```
Sb2MoRhF
1.0
-0.1124 -1.0197 -5.2944
3.9823 -0.0471 -0.0755
-0.0432 -5.2952 1.0208
Sb Mo Rh F
2 1 1 1
direct
0.0000 0.0000 0.5000
0.5000 0.0000 0.0000
0.0000 0.0000 0.0000
0.5000 0.5000 0.5000
0.0000 0.5000 0.0000
```

Total magnetization in μB per formula unit: 2.61
Calculated volume in Å³/cell: 115.8
Total energy in eV/atom: -4.774